Computed, not measured: crystalline Mo3SeN at its relaxed geometry at the PBE level of DFT.

Results
E_form (uncorrected) in eV/atom: 0.207
Space-group type: Pm-3m (221)

Lattice parameters (Å, degrees): 4.170 4.170 4.170 90.00 90.00 90.00
Positions (direct):
Mo: 0.000 0.000 0.500
Mo: 0.000 0.500 0.000
Mo: 0.500 0.000 0.000
Se: 0.500 0.500 0.500
N: 0.000 0.000 0.000

***

Computed, not measured: crystalline Co3Tc2 at its relaxed geometry at the PBE level of DFT.

Results
Space-group type: Fdd2 (43)
E_form in eV per atom: 0.138

Lattice parameters (Å, degrees): 6.636 4.775 7.467 61.05 39.02 79.93
Positions (direct):
Co: 0.000 0.000 0.000
Co: 0.250 0.250 0.250
Co: 0.435 0.755 0.343
Co: 0.755 0.435 0.467
Co: 0.783 0.907 0.495
Co: 0.907 0.783 0.815
Tc: 0.199 0.505 0.907
Tc: 0.343 0.861 0.051
Tc: 0.505 0.199 0.389
Tc: 0.861 0.343 0.745

***

Computed, not measured: crystalline Zr2InFe at its relaxed geometry at the PBE level of DFT.

Results
Space-group type: F-43m (216)
E_form in eV per atom: 0.142

Lattice parameters (Å, degrees): 4.756 4.756 4.756 60.00 60.00 60.00
Positions (direct):
Zr: 0.000 0.000 0.000
Zr: 0.250 0.250 0.250
In: 0.500 0.500 0.500
Fe: 0.750 0.750 0.750

***

Table of volume (Å³ per atom), in record order: 14.507; 12.135; 19.018
Table of electronic total energy (eV/cell), in record order: -43.27; -82.72; -27.73
Table of mass density (Mg/m³), in record order: 8.72; 10.20; 7.71